(1)
7
Lattice="3.599 1.834 1.632 2.964 5.098 2.410 2.256 4.562 15.725" Properties=species:S:1:pos:R:3 comment="CuN2Cl4, relaxed, DFT PBE-GGA" total_magnetization_mub_per_atom=0.455 relative_energy_ev_per_fu=0.000 e_form_raw_ev_per_atom=0.715 pbc="T T T"
N 6.400 8.108 12.843
Cu 0.000 0.000 0.000
Cl 6.647 8.472 16.751
Cl 2.181 3.894 10.765
Cl 6.638 7.599 9.002
N 2.418 3.385 6.924
Cl 2.171 3.021 3.017



(2)
4
Lattice="4.227 0.033 0.000 -0.031 4.227 0.000 -2.098 -2.130 2.988" Properties=species:S:1:pos:R:3 comment="Li2CuW, relaxed, DFT PBE-GGA" total_magnetization_mub_per_atom=0.000 ef_ev_per_atom=0.69 relative_energy_ev_per_fu=1.698 pbc="T T T"
Cu 2.114 0.017 1.494
W 2.098 2.130 0.000
Li 0.000 0.000 0.000
Li -0.016 2.114 1.494



(3)
15
Lattice="-18.842 -0.578 -6.658 -17.902 -5.001 -7.363 17.641 2.297 9.122" Properties=species:S:1:pos:R:3 comment="TaSi10W4, relaxed, DFT PBE-GGA" total_magnetization_mub_per_atom=0.000 e_form_raw_ev_per_atom=-0.362 pbc="T T T"
Si -19.647 -2.983 -7.497
W -14.639 -2.222 -5.586
Si -24.529 -3.724 -9.360
W -7.368 -1.119 -2.812
W -22.105 -3.356 -8.435
Ta 0.000 0.000 0.000
W -29.376 -4.460 -11.210
Si -2.504 -0.380 -0.955
Si -31.817 -4.830 -12.141
Si -4.927 -0.748 -1.880
Si -34.240 -5.198 -13.066
Si -17.096 -2.595 -6.524
Si -26.944 -4.090 -10.282
Si -12.215 -1.854 -4.661
Si -9.800 -1.488 -3.740



(4)
4
Lattice="3.404 0.000 0.000 0.000 3.404 0.000 0.000 0.000 9.678" Properties=species:S:1:pos:R:3 comment="SrTm2Co, relaxed, DFT PBE-GGA" total_magnetization_mub_per_atom=0.111 ef_ev_per_atom=-0.01 relative_energy_ev_per_fu=0.000 pbc="T T T"
Sr 1.702 1.702 4.839
Tm 0.000 0.000 8.115
Tm 0.000 0.000 1.562
Co 1.702 1.702 0.000



(5)
8
Lattice="4.237 0.000 0.000 0.000 7.617 0.178 0.000 -2.630 7.833" Properties=species:S:1:pos:R:3 comment="Pr4AlPI2, relaxed, DFT PBE-GGA" total_magnetization_mub_per_atom=0.000 e_form_raw_ev_per_atom=-0.971 pbc="T T T"
I 0.000 2.493 4.005
Pr 0.000 0.000 6.354
Pr 2.118 1.359 1.670
Pr 0.000 4.987 1.656
Al 0.000 0.000 0.000
I 2.118 -1.315 3.916
Pr 2.118 3.628 6.340
P 2.118 3.808 0.089



(6)
8
Lattice="7.074 0.015 -0.001 -0.014 6.573 0.000 0.000 0.000 4.007" Properties=species:S:1:pos:R:3 comment="ZnHgS2, relaxed, DFT PBE-GGA" total_magnetization_mub_per_atom=0.000 e_form_raw_ev_per_atom=-0.443 pbc="T T T"
Hg 3.541 3.367 3.000
Hg 4.942 0.084 0.991
Zn 0.147 3.335 0.996
Zn 1.261 0.051 2.999
S 3.489 0.786 2.995
S 0.285 0.949 0.995
S 1.120 4.237 3.000
S 4.991 4.076 0.996



(7)
4
Lattice="3.950 -0.041 0.034 2.014 3.398 0.034 1.916 1.079 7.613" Properties=species:S:1:pos:R:3 comment="Y2MnAs, relaxed, DFT PBE-GGA" total_magnetization_mub_per_atom=0.997 ef_ev_per_atom=-0.38 pbc="T T T"
Y 3.937 2.217 4.029
Mn 1.970 1.109 1.920
Y 1.918 1.080 7.424
As 5.909 3.327 5.760



(8)
8
Lattice="4.828 0.000 -1.327 -0.365 4.814 -1.327 -0.384 -0.415 8.046" Properties=species:S:1:pos:R:3 comment="DySc2Cd5, relaxed, DFT PBE-GGA" total_magnetization_mub_per_atom=0.002 ef_ev_per_atom=-0.27 pbc="T T T"
Cd 1.188 3.885 4.322
Dy 0.000 0.000 0.000
Sc 0.958 1.033 3.484
Cd 0.294 2.921 1.070
Sc 3.121 3.366 1.908
Cd 2.231 2.407 -1.327
Cd 3.784 1.478 4.322
Cd 2.890 0.514 1.070



(9)
6
Lattice="1.500 6.690 -0.071 -1.500 6.690 -0.071 0.000 1.908 6.302" Properties=species:S:1:pos:R:3 comment="SbOs, relaxed, DFT PBE-GGA" total_magnetization_mub_per_atom=0.000 e_form_raw_ev_per_atom=0.496 pbc="T T T"
Os 0.000 4.287 1.724
Sb 0.000 13.171 0.759
Os 0.000 10.529 3.727
Sb 0.000 5.043 5.643
Sb 0.000 1.555 4.010
Os 0.000 8.728 1.591



(10)
11
Lattice="-0.797 -3.651 0.325 3.394 -0.610 1.475 -6.198 4.283 11.261" Properties=species:S:1:pos:R:3 comment="Li6Ga2Au3, relaxed, DFT PBE-GGA" total_magnetization_mub_per_atom=0.000 ef_ev_per_atom=-0.27 pbc="T T T"
Au -1.755 -0.788 8.481
Ga 0.837 -1.928 2.045
Li -0.771 -1.221 6.039
Ga -4.438 1.950 11.016
Li 0.546 0.201 3.595
Au -1.845 0.811 4.581
Au 0.000 0.000 0.000
Li -2.051 1.342 10.042
Li -2.829 1.243 7.023
Li -1.550 -1.320 3.020
Li -4.147 -0.178 9.467



(11)
5
Lattice="-5.290 2.153 1.290 -1.859 -2.327 -3.739 -1.056 -4.639 3.413" Properties=species:S:1:pos:R:3 comment="Sr2AlTcI, relaxed, DFT PBE-GGA" total_magnetization_mub_per_atom=0.000 e_form_raw_ev_per_atom=-0.038 pbc="T T T"
Al -0.929 -1.163 -1.869
Sr -0.528 -2.320 1.706
I -4.102 -2.407 0.482
Tc 0.000 0.000 0.000
Sr -2.645 1.076 0.645



(12)
6
Lattice="-2.449 -0.632 -4.201 3.319 -3.337 -1.433 -5.134 -5.591 1.130" Properties=species:S:1:pos:R:3 comment="LaSmTl4, relaxed, DFT PBE-GGA" total_magnetization_mub_per_atom=0.000 ef_ev_per_atom=-0.27 relative_energy_ev_per_fu=0.000 pbc="T T T"
Tl 0.788 -5.071 -3.210
Tl -1.702 -8.419 -1.182
Sm -1.622 -6.980 -4.349
Tl 0.339 -3.084 -0.431
La -4.797 -7.349 -2.399
Tl -2.177 -5.151 -1.448



The calculation returns the following DOS(E_F) values, one per record and in order: 2.4; 4.0; 2.5; 3.7; 5.0; 0.0; 3.1; 4.4; 1.1; 5.5; 5.4; 4.0 states/eV/f.u..
The calculation returns the following calculated total energy values, one per record and in order: -23.130; -18.131; -123.331; -17.778; -39.136; -23.206; -28.272; -24.038; -43.079; -30.384; -19.210; -20.732 eV per cell.